[1]
# Y2FeP3Ir4 (GGA-PBE, relaxed)
data_Y2FeP3Ir4
_symmetry_space_group_name_H-M 'P -4 m 2'
_symmetry_Int_Tables_number 115
_cell_length_a 4.0575
_cell_length_b 4.0575
_cell_length_c 9.9071
_cell_angle_alpha 90.00
_cell_angle_beta 90.00
_cell_angle_gamma 90.00
loop_
_symmetry_equiv_pos_as_xyz
'x,y,z'
'y,-x,-z'
'-x,-y,z'
'-y,x,-z'
'-x,y,z'
'-y,-x,-z'
'x,-y,z'
'y,x,-z'
loop_
_atom_site_label
_atom_site_type_symbol
_atom_site_fract_x
_atom_site_fract_y
_atom_site_fract_z
_atom_site_occupancy
Y1 Y 0.0000 0.5000 0.2473 1
Fe1 Fe 0.5000 0.5000 0.0000 1
P1 P 0.0000 0.0000 0.0000 1
P2 P 0.0000 0.5000 0.6384 1
Ir1 Ir 0.0000 0.0000 0.5000 1
Ir2 Ir 0.0000 0.5000 0.8689 1
Ir3 Ir 0.5000 0.5000 0.5000 1
# DFT formation energy = -0.890 eV per atom

---

[2]
# PaFeIr (GGA-PBE, relaxed)
data_PaFeIr
_symmetry_space_group_name_H-M 'P m m m'
_symmetry_Int_Tables_number 47
_cell_length_a 3.6557
_cell_length_b 3.8595
_cell_length_c 4.0355
_cell_angle_alpha 90.00
_cell_angle_beta 90.00
_cell_angle_gamma 90.00
loop_
_symmetry_equiv_pos_as_xyz
'x,y,z'
'-x,-y,-z'
'-x,-y,z'
'x,y,-z'
'x,-y,-z'
'-x,y,z'
'-x,y,-z'
'x,-y,z'
loop_
_atom_site_label
_atom_site_type_symbol
_atom_site_fract_x
_atom_site_fract_y
_atom_site_fract_z
_atom_site_occupancy
Pa1 Pa 0.0000 0.0000 0.0000 1
Fe1 Fe 0.5000 0.0000 0.5000 1
Ir1 Ir 0.0000 0.5000 0.5000 1
# DFT formation energy = -0.177 eV per atom

---

[3]
# PaFeIr (GGA-PBE, relaxed)
data_PaFeIr
_symmetry_space_group_name_H-M 'P -6 m 2'
_symmetry_Int_Tables_number 187
_symmetry_space_group_name_Hall 'P -6 2'
_cell_length_a 4.1471
_cell_length_b 4.1471
_cell_length_c 3.7138
_cell_angle_alpha 90.00
_cell_angle_beta 90.00
_cell_angle_gamma 120.00
loop_
_atom_site_label
_atom_site_type_symbol
_atom_site_fract_x
_atom_site_fract_y
_atom_site_fract_z
_atom_site_occupancy
Pa1 Pa 0.0000 0.0000 0.0000 1
Fe1 Fe 0.6667 0.3333 0.5000 1
Ir1 Ir 0.3333 0.6667 0.5000 1
# DFT formation energy = -0.322 eV per atom

---

no.,magnetic moment (μB/atom)
1,0.241
2,0.360
3,0.037